# 1
First-principles (PBE) data for an optimized crystal structure of Sr2BeOs, as listed in Alexandria.

Lattice parameters (Å, degrees): 4.5598 4.5598 7.9716 84.90 84.90 38.48
Closest atoms and distances in Å follow each position.
Sites, in units of the cell vectors:
Sr (0.9981, 0.9981, 0.0163)  3 Os 2.99-3.09, 2 Sr 3.01, 3 Be 3.15-3.26
Sr (0.5019, 0.5019, 0.4837)  3 Os 2.99-3.09, 2 Sr 3.01, 3 Be 3.15-3.26
Os (0.2500, 0.2500, 0.2500)  6 Sr 2.99-3.09, 2 Os 3.01
Be (0.7500, 0.7500, 0.7500)  2 Be 3.01, 6 Sr 3.15-3.26

Values from the calculation:
Its space group is C2/m. The calculation puts the energy of formation from the pure elements at 105.1 kJ per mole of atoms. For the total energy, the calculation gives -3.49 eV per atom.


# 2
First-principles (PBE) data for an optimized crystal structure of RbNbSeO6, as listed in Alexandria.

Lattice parameters (Å, degrees): 5.2160 5.2160 6.3576 90.00 90.00 60.00
Closest atoms and distances in Å follow each position.
Sites, in units of the cell vectors:
Rb (0.0000, 0.0000, 0.0000)  6 O 2.93
Nb (0.3333, 0.3333, 0.5000)  6 O 2.03
Se (0.6666, 0.6667, 0.5000)  6 O 1.84
O (0.9736, 0.4030, 0.3324)  1 Se 1.84, 1 Nb 2.03
O (0.4029, 0.9736, 0.6676)  1 Se 1.84, 1 Nb 2.03
O (0.6234, 0.4029, 0.6676)  1 Se 1.84, 1 Nb 2.03
O (0.9735, 0.6235, 0.6676)  1 Se 1.84, 1 Nb 2.03
O (0.4029, 0.6235, 0.3324)  1 Se 1.84, 1 Nb 2.03
O (0.6234, 0.9736, 0.3324)  1 Se 1.84, 1 Nb 2.03

Values from the calculation:
Its space group is P312. Its uncorrected formation energy is -35.72 kcal/mol of atoms. For the total energy, the calculation gives -6.47 eV per atom.


# 3
First-principles (PBE) data for an optimized crystal structure of MoRu3Pt, as listed in Alexandria.

Lattice parameters (Å, degrees): 4.6523 4.6523 4.6523 90.00 90.00 90.00
Closest atoms and distances in Å follow each position.
Sites, in units of the cell vectors:
Ru (0.0000, 0.5000, 0.0000)  2 Pt 2.33
Ru (0.0000, 0.0000, 0.5000)  2 Pt 2.33
Ru (0.5000, 0.0000, 0.0000)  2 Pt 2.33
Mo (0.5000, 0.5000, 0.5000)  12 Ru 3.29
Pt (0.0000, 0.0000, 0.0000)  6 Ru 2.33

Values from the calculation:
Its space group is Pm-3m. The calculation puts the energy of formation from the pure elements at 217.8 kJ per mole of atoms. For the total energy, the calculation gives -6.68 eV per atom.


# 4
First-principles (PBE) data for an optimized crystal structure of Dy2ZrCd, as listed in Alexandria.

Lattice parameters (Å, degrees): 5.3112 5.3112 5.3112 60.00 60.00 60.00
Closest atoms and distances in Å follow each position.
Sites, in units of the cell vectors:
Cd (0.5000, 0.5000, 0.5000)  8 Dy 3.25
Zr (0.0000, 0.0000, 0.0000)  8 Dy 3.25
Dy (0.2500, 0.2500, 0.2500)  4 Zr 3.25, 4 Cd 3.25
Dy (0.7500, 0.7500, 0.7500)  4 Zr 3.25, 4 Cd 3.25

Values from the calculation:
Its space group is Fm-3m. The calculation puts the energy of formation from the pure elements at 4.6 kJ per mole of atoms. For the total energy, the calculation gives -4.62 eV per atom.


What did the first record say?
First-principles (PBE) data for an optimized crystal structure of Sr2BeOs, as listed in Alexandria.

Lattice parameters (Å, degrees): 4.5598 4.5598 7.9716 84.90 84.90 38.48
Closest atoms and distances in Å follow each position.
Sites, in units of the cell vectors:
Sr (0.9981, 0.9981, 0.0163)  3 Os 2.99-3.09, 2 Sr 3.01, 3 Be 3.15-3.26
Sr (0.5019, 0.5019, 0.4837)  3 Os 2.99-3.09, 2 Sr 3.01, 3 Be 3.15-3.26
Os (0.2500, 0.2500, 0.2500)  6 Sr 2.99-3.09, 2 Os 3.01
Be (0.7500, 0.7500, 0.7500)  2 Be 3.01, 6 Sr 3.15-3.26

Values from the calculation:
Its space group is C2/m. The calculation puts the energy of formation from the pure elements at 105.1 kJ per mole of atoms. For the total energy, the calculation gives -3.49 eV per atom.